Entry 1:
Computed, not measured: a geometry-optimized NaCrTcN3 structure at the PBE level of DFT.

a b c (Å): 6.079 2.931 8.106
angles (deg): 90.00 106.21 90.00
Fractional coordinates of all 12 atoms:
Na 0.017 0.250 0.205
Na 0.983 0.750 0.795
Cr 0.368 0.750 0.576
Cr 0.632 0.250 0.424
Tc 0.493 0.750 0.129
Tc 0.507 0.250 0.871
N 0.231 0.250 0.651
N 0.272 0.250 0.012
N 0.370 0.750 0.352
N 0.630 0.250 0.648
N 0.728 0.750 0.988
N 0.769 0.750 0.349

Values from the calculation:
energy relative to the elements, uncorrected = -243 meV per atom
VASP energy = -95.48 eV/cell

---

Entry 2:
Computed, not measured: a geometry-optimized NdTlHg2 structure at the PBE level of DFT.

a b c (Å): 4.989 4.989 8.547
angles (deg): 90.00 90.00 90.00
Fractional coordinates of all 8 atoms:
Nd 0.000 0.000 0.000
Nd 0.500 0.500 0.500
Tl 0.000 0.000 0.500
Tl 0.500 0.500 0.000
Hg 0.000 0.500 0.250
Hg 0.000 0.500 0.750
Hg 0.500 0.000 0.250
Hg 0.500 0.000 0.750

Values from the calculation:
VASP energy = -18.17 eV/cell
E_form = -130 kJ/mol of formula units

---

Entry 3:
Computed, not measured: a geometry-optimized Na2PuPb3O6 structure at the PBE level of DFT.

a b c (Å): 6.257 6.257 6.177
angles (deg): 98.41 98.41 120.62
Fractional coordinates of all 12 atoms:
Na 0.175 0.825 0.000
Na 0.825 0.175 0.000
Pu 0.500 0.500 0.000
Pb 0.000 0.000 0.500
Pb 0.334 0.666 0.500
Pb 0.666 0.334 0.500
O 0.140 0.423 0.792
O 0.294 0.294 0.266
O 0.423 0.140 0.792
O 0.577 0.860 0.208
O 0.706 0.706 0.734
O 0.860 0.577 0.208

Values from the calculation:
energy relative to the elements, uncorrected = -1632 meV per atom
VASP energy = -77.42 eV/cell

---

Entry 4:
Computed, not measured: a geometry-optimized KLiF3 structure at the PBE level of DFT.

a b c (Å): 5.948 5.948 5.948
angles (deg): 66.82 66.82 66.82
Fractional coordinates of all 10 atoms:
K 0.000 0.000 0.000
K 0.500 0.500 0.500
Li 0.250 0.250 0.250
Li 0.750 0.750 0.750
F 0.025 0.750 0.475
F 0.250 0.525 0.975
F 0.475 0.025 0.750
F 0.525 0.975 0.250
F 0.750 0.475 0.025
F 0.975 0.250 0.525

Values from the calculation:
energy relative to the elements, uncorrected = -2151 meV per atom
VASP energy = -38.76 eV/cell

---

Entry 5:
Computed, not measured: a geometry-optimized As3PbN structure at the PBE level of DFT.

a b c (Å): 5.389 5.389 5.389
angles (deg): 90.00 90.00 90.00
Fractional coordinates of all 5 atoms:
As 0.000 0.000 0.500
As 0.000 0.500 0.000
As 0.500 0.000 0.000
Pb 0.000 0.000 0.000
N 0.500 0.500 0.500

Values from the calculation:
energy relative to the elements, uncorrected = 2415 meV per atom
VASP energy = -13.90 eV/cell

---

Entry 6:
Computed, not measured: a geometry-optimized Cd3SnPb2 structure at the PBE level of DFT.

a b c (Å): 8.237 8.237 5.947
angles (deg): 90.00 90.00 59.92
Fractional coordinates of all 12 atoms:
Cd 0.000 0.000 0.000
Cd 0.000 0.000 0.500
Cd 0.348 0.348 0.000
Cd 0.348 0.348 0.500
Cd 0.652 0.652 0.000
Cd 0.652 0.652 0.500
Sn 0.317 0.683 0.750
Sn 0.683 0.317 0.250
Pb 0.014 0.335 0.750
Pb 0.335 0.014 0.250
Pb 0.665 0.986 0.750
Pb 0.986 0.665 0.250

Values from the calculation:
VASP energy = -27.19 eV/cell
E_form = 55 kJ/mol of formula units